No. 1
# CsVPb2Cl8 PBE optimized geometry
# - D(E_F): 10.93 states/eV/cell
data_CsVPb2Cl8
_cell_length_a 6.9037
_cell_length_b 7.1504
_cell_length_c 8.2391
_cell_angle_alpha 73.41
_cell_angle_beta 89.15
_cell_angle_gamma 88.70
_space_group_name_H-M_alt 'P -1'
_space_group_IT_number 2
loop_
_space_group_symop_operation_xyz
'x,y,z'
'-x,-y,-z'
loop_
_atom_site_label
_atom_site_fract_x
_atom_site_fract_y
_atom_site_fract_z
Cs1 0.0000 0.0000 0.0000
V1 0.0000 0.5000 0.5000
Pb1 0.4633 0.4741 0.2630
Cl1 0.0548 0.4342 0.2310
Cl2 0.2401 0.7460 0.4220
Cl3 0.2486 0.2674 0.6208
Cl4 0.4711 0.7650 0.9599

No. 2
# Cs2VPbCl6 PBE optimized geometry
# - D(E_F): 0.00 states/eV/cell
data_Cs2VPbCl6
_cell_length_a 10.7539
_cell_length_b 10.7539
_cell_length_c 10.7539
_cell_angle_alpha 90.00
_cell_angle_beta 90.00
_cell_angle_gamma 90.00
_space_group_name_H-M_alt 'F m -3 m'
_space_group_IT_number 225
_space_group_name_Hall '-F 4 2 3'
loop_
_atom_site_label
_atom_site_fract_x
_atom_site_fract_y
_atom_site_fract_z
Cs1 0.2500 0.2500 0.2500
V1 0.0000 0.0000 0.0000
Pb1 0.0000 0.0000 0.5000
Cl1 0.0000 0.0000 0.2327

No. 3
# CsV2PbCl8 PBE optimized geometry
# - D(E_F): 8.01 states/eV/cell
data_CsV2PbCl8
_cell_length_a 6.8028
_cell_length_b 6.8028
_cell_length_c 10.1262
_cell_angle_alpha 90.00
_cell_angle_beta 90.00
_cell_angle_gamma 120.00
_space_group_name_H-M_alt 'P -3'
_space_group_IT_number 147
loop_
_space_group_symop_operation_xyz
'x,y,z'
'-x,-y,-z'
'-y,x-y,z'
'y,-x+y,-z'
'-x+y,-x,z'
'x-y,x,-z'
loop_
_atom_site_label
_atom_site_fract_x
_atom_site_fract_y
_atom_site_fract_z
Cs1 0.0000 0.0000 0.0000
V1 0.3333 0.6667 0.7458
Pb1 0.0000 0.0000 0.5000
Cl1 0.0098 0.3399 0.6812
Cl2 0.3333 0.6667 0.9678

No. 4
# CsVPbCl2 PBE optimized geometry
# - D(E_F): 9.57 states/eV/cell
data_CsVPbCl2
_cell_length_a 6.1965
_cell_length_b 6.1965
_cell_length_c 6.6693
_cell_angle_alpha 90.00
_cell_angle_beta 90.00
_cell_angle_gamma 90.00
_space_group_name_H-M_alt 'P 4/m m m'
_space_group_IT_number 123
_space_group_name_Hall '-P 4 2'
loop_
_atom_site_label
_atom_site_fract_x
_atom_site_fract_y
_atom_site_fract_z
Cs1 0.0000 0.0000 0.0000
V1 0.5000 0.5000 0.5000
Pb1 0.0000 0.0000 0.5000
Cl1 0.0000 0.5000 0.0000

No. 5
# Cs2ZnPbCl6 PBE optimized geometry
# - D(E_F): 0.00 states/eV/cell
data_Cs2ZnPbCl6
_cell_length_a 10.7566
_cell_length_b 10.7566
_cell_length_c 10.7566
_cell_angle_alpha 90.00
_cell_angle_beta 90.00
_cell_angle_gamma 90.00
_space_group_name_H-M_alt 'F m -3 m'
_space_group_IT_number 225
_space_group_name_Hall '-F 4 2 3'
loop_
_atom_site_label
_atom_site_fract_x
_atom_site_fract_y
_atom_site_fract_z
Cs1 0.2500 0.2500 0.2500
Zn1 0.0000 0.0000 0.0000
Pb1 0.0000 0.0000 0.5000
Cl1 0.0000 0.0000 0.2329

No. 6
# CsZnPbCl5 PBE optimized geometry
# - D(E_F): 0.00 states/eV/cell
data_CsZnPbCl5
_cell_length_a 9.5239
_cell_length_b 12.7358
_cell_length_c 10.3226
_cell_angle_alpha 90.00
_cell_angle_beta 114.63
_cell_angle_gamma 90.00
_space_group_name_H-M_alt 'C 1 2/c 1'
_space_group_IT_number 15
loop_
_space_group_symop_operation_xyz
'x,y,z'
'-x,-y,-z'
'-x,y,-z+1/2'
'x,-y,z+1/2'
'x+1/2,y+1/2,z'
'-x+1/2,-y+1/2,-z'
'-x+1/2,y+1/2,-z+1/2'
'x+1/2,-y+1/2,z+1/2'
loop_
_atom_site_label
_atom_site_fract_x
_atom_site_fract_y
_atom_site_fract_z
Cs1 0.0000 0.1512 0.2500
Zn1 0.0000 0.1893 0.7500
Pb1 0.0000 0.5000 0.0000
Cl1 0.0000 0.4143 0.2500
Cl2 0.1059 0.2883 0.6265
Cl3 0.1789 0.0813 0.9198

| no. | total DFT energy (no corrections) (eV per cell) | formation energy from raw total energies (eV per atom) |
| --- | --- | --- |
| 1 | -48.19 | -1.335 |
| 2 | -162.63 | -1.504 |
| 3 | -52.26 | -1.224 |
| 4 | -14.22 | 0.631 |
| 5 | -130.63 | -1.489 |
| 6 | -104.65 | -1.387 |